# 1
## YRu2Br (GGA-PBE)

Data for an optimized crystal structure of YRu2Br.

## Properties
- E above lowest polymorph (meV/atom) = 577
- SG = I-4m2

Cell lengths 5.3502, 5.3502, 5.3502 Å; angles 136.25, 136.25, 63.60 degrees
Last column: nearest neighbours and their distance in Å.
Positions (direct):
Y 0.0000 0.0000 0.0000  8 Ru 2.82-3.02, 4 Br 3.02
Ru 0.5000 0.5000 0.0000  4 Y 2.82, 4 Ru 3.02, 4 Br 3.02
Ru 0.7500 0.2500 0.5000  4 Br 2.82, 4 Ru 3.02, 4 Y 3.02
Br 0.2500 0.7500 0.5000  8 Ru 2.82-3.02, 4 Y 3.02

***

# 2
## Y5RuBr9 (GGA-PBE)

Data for an optimized crystal structure of Y5RuBr9.

## Properties
- total DFT energy (no corrections) (eV/atom) = -5.3708
- SG = I4_1/a

Cell lengths 24.8642, 24.8642, 24.8642 Å; angles 149.68, 149.68, 43.42 degrees
Last column: nearest neighbours and their distance in Å.
Positions (direct):
Y 0.0064 0.8531 0.4388  1 Ru 2.73, 4 Br 2.86-2.98
Y 0.0511 0.6639 0.0264  1 Ru 2.75, 4 Br 2.86-2.93
Y 0.0676 0.5064 0.6533  1 Ru 2.73, 4 Br 2.86-2.98
Y 0.0720 0.6069 0.3612  3 Ru 2.83-2.84, 3 Br 2.98-3.04
Y 0.0824 0.3721 0.2632  1 Ru 2.79, 5 Br 2.90-3.02
Y 0.0857 0.4324 0.9388  1 Ru 2.73, 4 Br 2.86-2.98
Y 0.1069 0.2456 0.5349  3 Ru 2.83-2.84, 3 Br 2.98-3.04
Y 0.1279 0.8911 0.7102  1 Ru 2.79, 5 Br 2.90-3.02
Y 0.1317 0.0836 0.1490  6 Br 2.72-2.93
Y 0.1375 0.0247 0.4736  1 Ru 2.75, 4 Br 2.86-2.93
Y 0.1639 0.6375 0.6128  1 Ru 2.75, 4 Br 2.86-2.93
Y 0.2107 0.5720 0.9651  3 Ru 2.83-2.84, 3 Br 2.98-3.04
Y 0.2544 0.2893 0.8612  3 Ru 2.83-2.84, 3 Br 2.98-3.04
Y 0.3191 0.5824 0.2102  1 Ru 2.79, 5 Br 2.90-3.02
Y 0.3531 0.4143 0.8467  1 Ru 2.73, 4 Br 2.86-2.98
Y 0.3911 0.1809 0.7632  1 Ru 2.79, 5 Br 2.90-3.02
Y 0.4164 0.0654 0.0481  6 Br 2.72-2.93
Y 0.4346 0.9827 0.3510  6 Br 2.72-2.93
Y 0.4753 0.4489 0.1128  1 Ru 2.75, 4 Br 2.86-2.93
Y 0.4827 0.6317 0.5481  6 Br 2.72-2.93
Y 0.5173 0.3683 0.4519  6 Br 2.72-2.93
Y 0.5247 0.5511 0.8872  1 Ru 2.75, 4 Br 2.86-2.93
Y 0.5654 0.0173 0.6490  6 Br 2.72-2.93
Y 0.5836 0.9346 0.9519  6 Br 2.72-2.93
Y 0.6089 0.8191 0.2368  1 Ru 2.79, 5 Br 2.90-3.02
Y 0.6469 0.5857 0.1533  1 Ru 2.73, 4 Br 2.86-2.98
Y 0.6809 0.4176 0.7898  1 Ru 2.79, 5 Br 2.90-3.02
Y 0.7456 0.7107 0.1388  3 Ru 2.83-2.84, 3 Br 2.98-3.04
Y 0.7893 0.4280 0.0349  3 Ru 2.83-2.84, 3 Br 2.98-3.04
Y 0.8361 0.3625 0.3872  1 Ru 2.75, 4 Br 2.86-2.93
Y 0.8625 0.9753 0.5264  1 Ru 2.75, 4 Br 2.86-2.93
Y 0.8683 0.9164 0.8510  6 Br 2.72-2.93
Y 0.8721 0.1089 0.2898  1 Ru 2.79, 5 Br 2.90-3.02
Y 0.8931 0.7544 0.4651  3 Ru 2.83-2.84, 3 Br 2.98-3.04
Y 0.9143 0.5676 0.0612  1 Ru 2.73, 4 Br 2.86-2.98
Y 0.9176 0.6279 0.7368  1 Ru 2.79, 5 Br 2.90-3.02
Y 0.9280 0.3931 0.6388  3 Ru 2.83-2.84, 3 Br 2.98-3.04
Y 0.9324 0.4936 0.3467  1 Ru 2.73, 4 Br 2.86-2.98
Y 0.9489 0.3361 0.9736  1 Ru 2.75, 4 Br 2.86-2.93
Y 0.9936 0.1469 0.5612  1 Ru 2.73, 4 Br 2.86-2.98
Ru 0.0256 0.4416 0.6645  6 Y 2.73-2.84
Ru 0.0584 0.2229 0.5841  6 Y 2.73-2.84
Ru 0.1389 0.4744 0.9159  6 Y 2.73-2.84
Ru 0.2771 0.3611 0.8355  6 Y 2.73-2.84
Ru 0.7229 0.6389 0.1645  6 Y 2.73-2.84
Ru 0.8611 0.5256 0.0841  6 Y 2.73-2.84
Ru 0.9416 0.7771 0.4159  6 Y 2.73-2.84
Ru 0.9744 0.5584 0.3355  6 Y 2.73-2.84
Br 0.0216 0.3821 0.9661  2 Y 2.86-2.93
Br 0.0293 0.2840 0.2481  3 Y 2.93-2.98
Br 0.0448 0.1008 0.8316  2 Y 2.86-2.92
Br 0.0594 0.0284 0.1448  2 Y 2.81-2.86
Br 0.0840 0.9446 0.4661  2 Y 2.86-2.93
Br 0.0961 0.7690 0.0531  3 Y 2.91-2.98
Br 0.1062 0.8526 0.7731  3 Y 2.90-3.02
Br 0.1179 0.5840 0.6394  2 Y 2.86-2.93
Br 0.1245 0.6771 0.3527  3 Y 2.89-3.04
Br 0.1668 0.3938 0.2463  3 Y 2.90-3.02
Br 0.1756 0.2282 0.8527  3 Y 2.89-3.04
Br 0.1771 0.3244 0.5526  3 Y 2.89-3.04
Br 0.1862 0.1633 0.1659  2 Y 2.72-3.02
Br 0.2159 0.0430 0.4469  3 Y 2.91-2.98
Br 0.2160 0.9640 0.7453  3 Y 2.93-2.98
Br 0.2308 0.7868 0.3316  2 Y 2.86-2.92
Br 0.2339 0.8928 0.0657  2 Y 2.80-2.82
Br 0.2690 0.7159 0.6729  3 Y 2.91-2.98
Br 0.2718 0.6245 0.9474  3 Y 2.89-3.04
Br 0.2812 0.5293 0.2453  3 Y 2.93-2.98
Br 0.2868 0.4552 0.5560  2 Y 2.86-2.92
Br 0.3271 0.1682 0.4343  2 Y 2.80-2.82
Br 0.3318 0.2661 0.1589  2 Y 2.80-2.82
Br 0.3367 0.0026 0.0229  2 Y 2.72-3.02
Br 0.3526 0.0795 0.7463  3 Y 2.90-3.02
Br 0.3835 0.9146 0.3552  2 Y 2.81-2.86
Br 0.3928 0.8271 0.6589  2 Y 2.80-2.82
Br 0.3992 0.7308 0.9440  2 Y 2.86-2.92
Br 0.4146 0.5594 0.5310  2 Y 2.81-2.86
Br 0.4205 0.6668 0.2731  3 Y 2.90-3.02
Br 0.4446 0.4784 0.8606  2 Y 2.86-2.93
Br 0.4570 0.4039 0.1729  3 Y 2.91-2.98
Br 0.4640 0.2188 0.7481  3 Y 2.93-2.98
Br 0.4716 0.1165 0.0310  2 Y 2.81-2.86
Br 0.4797 0.3138 0.4771  2 Y 2.72-3.02
Br 0.4974 0.0203 0.3341  2 Y 2.72-3.02
Br 0.5026 0.9797 0.6659  2 Y 2.72-3.02
Br 0.5203 0.6862 0.5229  2 Y 2.72-3.02
Br 0.5284 0.8835 0.9690  2 Y 2.81-2.86
Br 0.5360 0.7812 0.2519  3 Y 2.93-2.98
Br 0.5430 0.5961 0.8271  3 Y 2.91-2.98
Br 0.5554 0.5216 0.1394  2 Y 2.86-2.93
Br 0.5795 0.3332 0.7269  3 Y 2.90-3.02
Br 0.5854 0.4406 0.4690  2 Y 2.81-2.86
Br 0.6008 0.2692 0.0560  2 Y 2.86-2.92
Br 0.6072 0.1729 0.3411  2 Y 2.80-2.82
Br 0.6165 0.0854 0.6448  2 Y 2.81-2.86
Br 0.6474 0.9205 0.2537  3 Y 2.90-3.02
Br 0.6633 0.9974 0.9771  2 Y 2.72-3.02
Br 0.6682 0.7339 0.8411  2 Y 2.80-2.82
Br 0.6729 0.8318 0.5657  2 Y 2.80-2.82
Br 0.7132 0.5448 0.4440  2 Y 2.86-2.92
Br 0.7188 0.4707 0.7547  3 Y 2.93-2.98
Br 0.7282 0.3755 0.0526  3 Y 2.89-3.04
Br 0.7310 0.2841 0.3271  3 Y 2.91-2.98
Br 0.7661 0.1072 0.9343  2 Y 2.80-2.82
Br 0.7692 0.2132 0.6684  2 Y 2.86-2.92
Br 0.7840 0.0360 0.2547  3 Y 2.93-2.98
Br 0.7841 0.9570 0.5531  3 Y 2.91-2.98
Br 0.8138 0.8367 0.8341  2 Y 2.72-3.02
Br 0.8229 0.6756 0.4474  3 Y 2.89-3.04
Br 0.8244 0.7718 0.1473  3 Y 2.89-3.04
Br 0.8332 0.6062 0.7537  3 Y 2.90-3.02
Br 0.8755 0.3229 0.6473  3 Y 2.89-3.04
Br 0.8821 0.4160 0.3606  2 Y 2.86-2.93
Br 0.8938 0.1474 0.2269  3 Y 2.90-3.02
Br 0.9039 0.2310 0.9469  3 Y 2.91-2.98
Br 0.9160 0.0554 0.5339  2 Y 2.86-2.93
Br 0.9406 0.9716 0.8552  2 Y 2.81-2.86
Br 0.9552 0.8992 0.1684  2 Y 2.86-2.92
Br 0.9707 0.7160 0.7519  3 Y 2.93-2.98
Br 0.9784 0.6179 0.0339  2 Y 2.86-2.93

***

# 3
## Y4RuBr (GGA-PBE)

Data for an optimized crystal structure of Y4RuBr.

## Properties
- total DFT energy (no corrections) (eV/atom) = -5.4111
- SG = F-43m

Cell lengths 6.2184, 6.2184, 6.2184 Å; angles 60.00, 60.00, 60.00 degrees
Last column: nearest neighbours and their distance in Å.
Positions (direct):
Y 0.3770 0.3770 0.3770  6 Y 3.06-3.16
Y 0.3770 0.3770 0.8689  6 Y 3.06-3.16
Y 0.3770 0.8689 0.3770  6 Y 3.06-3.16
Y 0.8689 0.3770 0.3770  6 Y 3.06-3.16
Ru 0.7500 0.7500 0.7500  12 Y 3.64, 4 Br 3.81
Br 0.0000 0.0000 0.0000  12 Y 3.65, 4 Ru 3.81

***

# 4
## YRu2Br (GGA-PBE)

Data for an optimized crystal structure of YRu2Br.

## Properties
- E above lowest polymorph (meV/atom) = 486
- SG = C2/m

Cell lengths 5.5632, 5.5632, 3.1779 Å; angles 105.33, 105.33, 119.07 degrees
Last column: nearest neighbours and their distance in Å.
Positions (direct):
Y 0.0000 0.0000 0.0000  4 Ru 2.82, 4 Br 2.82-2.95
Ru 0.0000 0.5000 0.5000  2 Br 2.82, 2 Y 2.82, 4 Ru 2.82-2.95
Ru 0.5000 0.0000 0.5000  2 Br 2.82, 2 Y 2.82, 4 Ru 2.82-2.95
Br 0.5000 0.5000 0.0000  4 Ru 2.82, 4 Y 2.82-2.95

***

Let's list magnetic moment in order: 0.00 1.08 1.70 0.01 μB/f.u..